A relaxed structure of SmInPbSe3. Source: OQMD, functional GGA-PBE.

Values from the calculation:
The electronic total energy is -54.26 eV for the cell shown. The calculation puts the magnetization at 0.001 μB/atom.

a b c (Å): 7.585 7.585 11.742
angles (deg): 90.00 90.00 147.88
Fractional positions:
In: 0.351 0.649 0.250
In: 0.649 0.351 0.750
Pb: 0.664 0.336 0.250
Pb: 0.336 0.664 0.750
Se: 0.638 0.362 0.000
Se: 0.995 0.005 0.250
Se: 0.638 0.362 0.500
Se: 0.362 0.638 0.500
Se: 0.005 0.995 0.750
Se: 0.362 0.638 0.000
Sm: 0.000 0.000 0.000
Sm: 0.000 0.000 0.500

A relaxed structure of TbInPbSe3. Source: OQMD, functional GGA-PBE.

Values from the calculation:
The electronic total energy is -54.26 eV for the cell shown. The calculation puts the magnetization at 0.001 μB/atom.

a b c (Å): 7.598 7.598 11.663
angles (deg): 90.00 90.00 148.56
Fractional positions:
In: 0.149 0.851 0.250
In: 0.851 0.149 0.750
Pb: 0.836 0.164 0.250
Pb: 0.164 0.836 0.750
Se: 0.864 0.136 0.000
Se: 0.136 0.864 0.000
Se: 0.506 0.494 0.250
Se: 0.864 0.136 0.500
Se: 0.136 0.864 0.500
Se: 0.494 0.506 0.750
Tb: 0.500 0.500 0.000
Tb: 0.500 0.500 0.500

A relaxed structure of TaInPb. Source: OQMD, functional GGA-PBE.

Values from the calculation:
The electronic total energy is -14.75 eV for the cell shown. The calculation puts the excess energy over the best structure of this formula in the dataset at 336 meV/atom. The calculation puts the magnetization at 0.651 μB/atom.

a b c (Å): 4.870 4.870 4.870
angles (deg): 60.00 60.00 60.00
Fractional positions:
In: 0.000 0.000 0.000
Pb: 0.250 0.250 0.250
Ta: 0.750 0.750 0.750